The following is a DFT calculation (meta-GGA SCAN) of a crystal of Ba4CuCl relaxed with PBEsol.

crystal system: cubic
size of the total moment: 0.01 μB/cell
calculated total energy: -179.38 eV for the cell shown
calculated volume: 42.198 Å³ per atom

Cell: 7.101 7.101 7.101 Å, 60.00 60.00 60.00°
Atoms (fractional coordinates):
Cu 0.000 0.000 0.000
Ba 0.375 0.874 0.375
Ba 0.874 0.375 0.375
Ba 0.375 0.375 0.874
Ba 0.375 0.375 0.375
Cl 0.750 0.750 0.750